The following is a PBE calculation of a geometry-optimized HoLuMgTc structure, from Alexandria.

abc: 4.973 4.973 4.973
angles: 60.00 60.00 60.00
Positions (direct):
Ho 0.000 0.000 0.000
Lu 0.500 0.500 0.500
Mg 0.750 0.750 0.750
Tc 0.250 0.250 0.250

## Properties
DOS at the Fermi energy   0.7522 states/eV per atom
Calculated total energy   -5.31 eV per atom
Volume   87.0 Å³/cell
Calculated density   8.8 Mg/m³

=====

The following is a PBE calculation of a geometry-optimized YHoLuMg structure, from Alexandria.

abc: 5.461 5.461 5.461
angles: 60.00 60.00 60.00
Positions (direct):
Y 0.000 0.000 0.000
Ho 0.500 0.500 0.500
Lu 0.750 0.750 0.750
Mg 0.250 0.250 0.250

## Properties
DOS at the Fermi energy   0.9678 states/eV per atom
Calculated total energy   -4.26 eV per atom
Volume   115.2 Å³/cell
Calculated density   6.5 Mg/m³

=====

Question: What is the calculated total energy in the first record?
Answer: -5.31 eV per atom

=====

Question: Number 1 is which compound?
Answer: HoLuMgTc

=====

Question: Which of these has the lowest volume?
Answer: HoLuMgTc